(1)
Co2Rh2Se (PBE, optimized geometry); D(E_F) = 6.8 states/eV per cell; formation energy from raw total energies = 485 meV/atom
1.0
3.567 0.000 0.000
0.000 3.567 0.000
1.783 1.783 5.999
Rh Co Se
2 2 1
direct
0.750 0.250 0.500 Rh
0.250 0.750 0.500 Rh
0.400 0.400 0.199 Co
0.600 0.600 0.801 Co
0.000 0.000 0.000 Se


(2)
Co2RhSe (PBE, optimized geometry); D(E_F) = 5.2 states/eV per cell; formation energy from raw total energies = 217 meV/atom
1.0
4.973 -0.001 -0.005
2.323 4.398 0.005
-3.225 -2.900 2.433
Rh Se Co
1 1 2
direct
0.478 0.478 0.000 Rh
0.243 0.743 0.500 Se
0.024 0.024 0.000 Co
0.754 0.254 0.500 Co


(3)
Co2RhSe (PBE, optimized geometry); D(E_F) = 4.4 states/eV per cell; formation energy from raw total energies = 192 meV/atom
1.0
-3.646 -0.048 -3.347
-3.521 -3.430 0.583
2.282 3.876 2.065
Rh Se Co
1 1 2
direct
0.750 0.250 0.500 Rh
0.250 0.750 0.500 Se
0.025 0.025 0.000 Co
0.475 0.475 0.000 Co


(4)
CoRh2Se4 (PBE, optimized geometry); D(E_F) = 4.4 states/eV per cell; formation energy from raw total energies = -323 meV/atom
1.0
3.728 0.000 -0.001
0.000 6.429 -0.011
-1.865 -3.060 5.253
Co Rh Se
1 2 4
direct
0.000 0.000 0.000 Co
0.736 0.719 0.474 Rh
0.264 0.281 0.526 Rh
0.628 0.972 0.255 Se
0.115 0.446 0.232 Se
0.885 0.554 0.768 Se
0.372 0.028 0.745 Se


(5)
Co5Rh3Se12 (PBE, optimized geometry); D(E_F) = 69.7 states/eV per cell; formation energy from raw total energies = -92 meV/atom
1.0
-5.851 10.575 2.762
-6.100 -9.539 5.049
11.546 0.369 4.500
Co Se Rh
20 48 12
direct
0.875 0.250 0.625 Co
0.000 0.500 0.500 Co
0.125 0.750 0.375 Co
0.750 0.625 0.375 Co
0.500 0.000 0.000 Co
0.500 0.000 0.500 Co
0.000 0.500 0.000 Co
0.250 0.875 0.125 Co
0.000 0.000 0.000 Co
0.625 0.750 0.875 Co
0.250 0.375 0.625 Co
0.500 0.500 0.000 Co
0.125 0.375 0.250 Co
0.875 0.625 0.750 Co
0.500 0.500 0.500 Co
0.375 0.250 0.125 Co
0.000 0.000 0.500 Co
0.750 0.125 0.875 Co
0.375 0.125 0.750 Co
0.625 0.875 0.250 Co
0.581 0.620 0.404 Se
0.961 0.380 0.285 Se
0.177 0.096 0.715 Se
0.081 0.177 0.461 Se
0.380 0.961 0.785 Se
0.096 0.177 0.215 Se
0.120 0.404 0.081 Se
0.581 0.961 0.677 Se
0.904 0.823 0.785 Se
0.039 0.419 0.823 Se
0.620 0.581 0.904 Se
0.323 0.785 0.404 Se
0.715 0.120 0.039 Se
0.620 0.039 0.215 Se
0.419 0.380 0.596 Se
0.285 0.404 0.823 Se
0.096 0.919 0.380 Se
0.823 0.919 0.039 Se
0.323 0.539 0.419 Se
0.880 0.596 0.919 Se
0.419 0.039 0.323 Se
0.081 0.904 0.120 Se
0.785 0.461 0.380 Se
0.596 0.880 0.419 Se
0.404 0.120 0.581 Se
0.823 0.904 0.285 Se
0.677 0.215 0.596 Se
0.120 0.715 0.539 Se
0.539 0.323 0.919 Se
0.215 0.677 0.096 Se
0.677 0.461 0.581 Se
0.404 0.285 0.323 Se
0.961 0.581 0.177 Se
0.919 0.823 0.539 Se
0.919 0.096 0.880 Se
0.596 0.715 0.677 Se
0.785 0.323 0.904 Se
0.461 0.677 0.081 Se
0.177 0.081 0.961 Se
0.461 0.785 0.880 Se
0.380 0.419 0.096 Se
0.039 0.620 0.715 Se
0.285 0.880 0.961 Se
0.539 0.215 0.120 Se
0.880 0.285 0.461 Se
0.715 0.596 0.177 Se
0.904 0.081 0.620 Se
0.215 0.539 0.620 Se
0.375 0.750 0.625 Rh
0.375 0.625 0.250 Rh
0.750 0.375 0.125 Rh
0.250 0.125 0.375 Rh
0.875 0.750 0.125 Rh
0.125 0.250 0.875 Rh
0.750 0.875 0.625 Rh
0.625 0.250 0.375 Rh
0.875 0.125 0.250 Rh
0.250 0.625 0.875 Rh
0.125 0.875 0.750 Rh
0.625 0.375 0.750 Rh


(6)
Co4RhSe8 (PBE, optimized geometry); D(E_F) = 7.7 states/eV per cell; formation energy from raw total energies = -295 meV/atom
1.0
6.123 0.000 3.535
2.041 5.773 3.535
0.000 0.000 7.070
Se Co Rh
8 4 1
direct
0.137 0.589 0.137 Se
0.137 0.137 0.137 Se
0.137 0.137 0.589 Se
0.612 0.612 0.612 Se
0.612 0.612 0.163 Se
0.589 0.137 0.137 Se
0.612 0.163 0.612 Se
0.163 0.612 0.612 Se
0.371 0.371 0.371 Co
0.888 0.371 0.371 Co
0.371 0.371 0.888 Co
0.371 0.888 0.371 Co
0.750 0.750 0.750 Rh


(7)
Co2RhSe (PBE, optimized geometry); D(E_F) = 4.7 states/eV per cell; formation energy from raw total energies = 270 meV/atom
1.0
7.998 -0.016 -0.010
7.501 2.776 -0.010
7.501 1.335 2.433
Co Rh Se
2 1 1
direct
0.254 0.254 0.254 Co
0.000 0.000 0.000 Co
0.501 0.501 0.501 Rh
0.745 0.745 0.745 Se


(8)
Co2RhSe (PBE, optimized geometry); D(E_F) = 3.7 states/eV per cell; formation energy from raw total energies = 168 meV/atom
1.0
3.624 0.000 0.000
0.000 2.846 0.002
0.000 1.422 5.208
Co Se Rh
2 1 1
direct
0.000 0.946 0.984 Co
0.500 0.318 0.238 Co
0.500 0.538 0.800 Se
0.000 0.698 0.478 Rh


(9)
Co2RhSe (PBE, optimized geometry); D(E_F) = 8.9 states/eV per cell; formation energy from raw total energies = 615 meV/atom
1.0
-0.744 -0.700 -5.050
4.832 -1.725 -0.473
0.318 -6.310 -1.800
Se Co Rh
2 4 2
direct
0.500 0.500 0.000 Se
0.250 0.750 0.500 Se
0.135 0.625 0.250 Co
0.615 0.125 0.250 Co
0.875 0.865 0.750 Co
0.375 0.385 0.750 Co
0.000 0.000 0.000 Rh
0.750 0.250 0.500 Rh


(10)
Co5RhSe12 (PBE, optimized geometry); D(E_F) = 11.9 states/eV per cell; formation energy from raw total energies = -280 meV/atom
1.0
5.243 3.050 -0.012
-5.243 3.050 -0.012
0.000 -0.040 10.910
Co Se Rh
5 12 1
direct
0.331 0.669 0.000 Co
0.500 0.500 0.500 Co
0.170 0.830 0.500 Co
0.830 0.170 0.500 Co
0.669 0.331 0.000 Co
0.505 0.837 0.615 Se
0.169 0.169 0.613 Se
0.650 0.650 0.882 Se
0.001 0.349 0.880 Se
0.837 0.505 0.615 Se
0.350 0.350 0.118 Se
0.495 0.163 0.385 Se
0.163 0.495 0.385 Se
0.831 0.831 0.387 Se
0.999 0.651 0.120 Se
0.349 0.001 0.880 Se
0.651 0.999 0.120 Se
0.000 0.000 0.000 Rh


(11)
Co2Rh2Se (PBE, optimized geometry); D(E_F) = 8.4 states/eV per cell; formation energy from raw total energies = 229 meV/atom
1.0
-4.719 0.502 3.690
-1.474 -5.722 -1.106
2.193 -1.137 2.959
Co Rh Se
4 4 2
direct
0.637 0.137 0.000 Co
0.363 0.863 0.000 Co
0.863 0.637 0.000 Co
0.137 0.363 0.000 Co
0.844 0.344 0.500 Rh
0.156 0.656 0.500 Rh
0.656 0.844 0.500 Rh
0.344 0.156 0.500 Rh
0.500 0.500 0.000 Se
0.000 0.000 0.000 Se


(12)
Th4CoRhSe2 (PBE, optimized geometry); D(E_F) = 6.6 states/eV per cell; formation energy from raw total energies = -1074 meV/atom
1.0
-4.071 0.267 -0.464
-0.984 -4.787 5.870
-0.403 3.910 5.788
Th Rh Se Co
4 1 2 1
direct
0.500 0.287 0.735 Th
0.500 0.713 0.265 Th
0.000 0.285 0.253 Th
0.000 0.715 0.747 Th
0.500 0.500 0.000 Rh
0.500 0.000 0.500 Se
0.000 0.000 0.000 Se
0.000 0.500 0.500 Co


Question: The highest D(E_F) belongs to which entry?
Answer: Co5Rh3Se12


Copy entry 3 word for word.
Co2RhSe (PBE, optimized geometry); D(E_F) = 4.4 states/eV per cell; formation energy from raw total energies = 192 meV/atom
1.0
-3.646 -0.048 -3.347
-3.521 -3.430 0.583
2.282 3.876 2.065
Rh Se Co
1 1 2
direct
0.750 0.250 0.500 Rh
0.250 0.750 0.500 Se
0.025 0.025 0.000 Co
0.475 0.475 0.000 Co


Question: The highest D(E_F) belongs to which entry?
Answer: Co5Rh3Se12


What did the ninth record say?
Co2RhSe (PBE, optimized geometry); D(E_F) = 8.9 states/eV per cell; formation energy from raw total energies = 615 meV/atom
1.0
-0.744 -0.700 -5.050
4.832 -1.725 -0.473
0.318 -6.310 -1.800
Se Co Rh
2 4 2
direct
0.500 0.500 0.000 Se
0.250 0.750 0.500 Se
0.135 0.625 0.250 Co
0.615 0.125 0.250 Co
0.875 0.865 0.750 Co
0.375 0.385 0.750 Co
0.000 0.000 0.000 Rh
0.750 0.250 0.500 Rh